Record 1
# Ta3SbPt

Crystalline Ta3SbPt at its relaxed geometry (PBEsol, Alexandria via LeMat-Bulk).

```
5
Lattice="4.8705 0.0000 0.0000 0.0000 4.8705 0.0000 0.0000 0.0000 4.8705" Properties=species:S:1:pos:R:3 pbc="T T T"
Ta 0.0000 0.0000 2.4352
Ta 0.0000 2.4352 0.0000
Ta 2.4352 0.0000 0.0000
Sb 0.0000 0.0000 0.0000
Pt 2.4352 2.4352 2.4352
```

Symmetry: Pm-3m
Formation energy without anion corrections, eV per formula unit: 10.02

Record 2
# Sr2FePt2

Crystalline Sr2FePt2 at its relaxed geometry (PBEsol, Alexandria via LeMat-Bulk).

```
5
Lattice="-1.8566 1.8566 8.9943 1.8566 -1.8566 8.9943 1.8566 1.8566 -8.9943" Properties=species:S:1:pos:R:3 pbc="T T T"
Sr 0.0000 0.0000 2.0527
Sr 0.0000 0.0000 15.9358
Fe 0.0000 0.0000 8.9943
Pt 1.8566 0.0000 4.4971
Pt 0.0000 1.8566 4.4971
```

Symmetry: I4/mmm
Energy of formation, eV per atom: 0.1954

Record 3
# Dy3MnB7

Crystalline Dy3MnB7 at its relaxed geometry (PBEsol, Alexandria via LeMat-Bulk).

```
22
Lattice="1.6963 -7.8046 0.0000 1.6963 7.8046 0.0000 0.0000 0.0000 9.2313" Properties=species:S:1:pos:R:3 pbc="T T T"
Dy 1.6963 6.1755 5.1720
Dy 1.6963 6.1755 8.6750
Dy 1.6963 4.0435 2.3078
Dy 1.6963 -4.0435 6.9235
Dy 1.6963 -6.1755 0.5563
Dy 1.6963 -6.1755 4.0594
Mn 1.6963 6.9680 2.3078
Mn 1.6963 -6.9680 6.9235
B 1.6963 3.5491 4.9097
B 1.6963 3.5491 8.9373
B 1.6963 2.0340 6.0253
B 1.6963 2.0340 7.8217
B 1.6963 0.6308 2.3078
B 1.6963 0.3366 5.5179
B 1.6963 0.3366 8.3291
B 1.6963 -0.3366 0.9022
B 1.6963 -0.3366 3.7134
B 1.6963 -0.6308 6.9235
B 1.6963 -2.0340 1.4096
B 1.6963 -2.0340 3.2060
B 1.6963 -3.5491 0.2940
B 1.6963 -3.5491 4.3216
```

Symmetry: Cmcm
Energy of formation, eV per atom: -0.6742

Record 4
# Cr21W2C6

Crystalline Cr21W2C6 at its relaxed geometry (PBEsol, Alexandria via LeMat-Bulk).

```
29
Lattice="0.0000 5.2619 5.2619 5.2619 0.0000 5.2619 5.2619 5.2619 0.0000" Properties=species:S:1:pos:R:3 pbc="T T T"
Cr 0.0000 0.0000 0.0000
Cr 1.7806 1.7806 0.0000
Cr 3.4812 3.4812 0.0000
Cr 1.7806 0.0000 1.7806
Cr 5.2619 3.4812 1.7806
Cr 3.4812 0.0000 3.4812
Cr 5.2619 1.7806 3.4812
Cr 6.4738 4.0499 4.0499
Cr 0.0000 1.7806 1.7806
Cr 3.4812 5.2619 1.7806
Cr 3.4812 1.7806 5.2619
Cr 4.0499 4.0499 4.0499
Cr 6.4738 6.4738 4.0499
Cr 6.4738 4.0499 6.4738
Cr 4.0499 6.4738 4.0499
Cr 4.0499 4.0499 6.4738
Cr 6.4738 6.4738 6.4738
Cr 0.0000 3.4812 3.4812
Cr 1.7806 5.2619 3.4812
Cr 1.7806 3.4812 5.2619
Cr 4.0499 6.4738 6.4738
W 2.6309 2.6309 2.6309
W 7.8928 7.8928 7.8928
C 5.2619 5.2619 2.8848
C 5.2619 2.8848 5.2619
C 7.6389 5.2619 5.2619
C 2.8848 5.2619 5.2619
C 5.2619 7.6389 5.2619
C 5.2619 5.2619 7.6389
```

Symmetry: Fm-3m
Energy of formation, eV per atom: -0.1509

Record 5
# Zr2PtPb

Crystalline Zr2PtPb at its relaxed geometry (PBEsol, Alexandria via LeMat-Bulk).

```
4
Lattice="3.1426 0.0000 0.0000 0.0000 4.9521 0.0000 -0.2244 0.0000 5.1479" Properties=species:S:1:pos:R:3 pbc="T T T"
Zr 0.0000 0.0000 0.0000
Zr 0.1594 2.4760 3.2524
Pt 1.4798 0.0000 2.5351
Pb 1.6969 2.4760 0.6982
```

Symmetry: Pm
Energy of formation, eV per atom: -0.4167

Record 6
# Ba2TlOs

Crystalline Ba2TlOs at its relaxed geometry (PBEsol, Alexandria via LeMat-Bulk).

```
4
Lattice="4.1325 -1.7132 0.0000 4.1325 1.7132 0.0000 -1.1890 0.0000 9.1857" Properties=species:S:1:pos:R:3 pbc="T T T"
Ba 1.7316 0.0000 1.8424
Ba 5.3445 0.0000 7.3433
Tl -0.5945 0.0000 4.5928
Os 4.1325 0.0000 0.0000
```

Symmetry: C2/m
Energy of formation, eV per atom: 0.6525

Record 7
# Ca2TlTc

Crystalline Ca2TlTc at its relaxed geometry (PBEsol, Alexandria via LeMat-Bulk).

```
4
Lattice="-2.2416 2.2416 4.4290 2.2416 -2.2416 4.4290 2.2416 2.2416 -4.4290" Properties=species:S:1:pos:R:3 pbc="T T T"
Ca 0.0000 0.0000 0.0000
Ca 0.0000 2.2416 2.2145
Tl 2.2416 0.0000 2.2145
Tc 0.0000 0.0000 4.4290
```

Symmetry: I-4m2
Energy of formation, eV per atom: 0.3618

Record 8
# Al2MoSe

Crystalline Al2MoSe at its relaxed geometry (PBEsol, Alexandria via LeMat-Bulk).

```
4
Lattice="3.3463 0.0000 0.0000 0.0000 3.3463 0.0000 0.0000 0.0000 5.5756" Properties=species:S:1:pos:R:3 pbc="T T T"
Al 0.0000 0.0000 1.2848
Al 0.0000 0.0000 4.2908
Mo 1.6732 1.6732 0.0000
Se 1.6732 1.6732 2.7878
```

Symmetry: P4/mmm
Formation energy without anion corrections, eV per formula unit: -0.43